# LiVNF2

A geometry-optimized LiVNF2 structure (PBE with a Hubbard U, Alexandria).

a = 4.040 Å, b = 4.040 Å, c = 3.748 Å
α = 90.00°, β = 90.00°, γ = 90.00°
Atoms (fractional coordinates):
1 F 0.000 0.500 0.000
2 F 0.500 0.000 0.000
3 V 0.000 0.000 0.000
4 Li 0.500 0.500 0.500
5 N 0.000 0.000 0.500

## Properties
- space group = P4/mmm, No. 123
- density of states at the Fermi level (states/eV per cell) = 0.35
- total magnetization (μB per atom) = 0.200
- energy relative to the lowest polymorph listed for this composition (eV per atom) = 0.000